Run w
ZrTa2BeI: relaxed, PBE.

Properties
Its density of states at the Fermi level is 5.4 states/eV/f.u. As for the space-group type: No. 123. Its size of the total moment is 0.00 μB per formula unit.

Unit cell a=4.456 b=4.456 c=4.997 alpha=90.00 beta=90.00 gamma=90.00
Positions (direct):
Zr 0.000 0.000 0.000
Ta 0.000 0.500 0.500
Ta 0.500 0.000 0.500
Be 0.000 0.000 0.500
I 0.500 0.500 0.000

Run x
ZrTa2BeI: relaxed, PBE.

Properties
Its density of states at the Fermi level is 6.5 states/eV/f.u. As for the space-group type: No. 123. Its size of the total moment is 1.02 μB per formula unit.

Unit cell a=5.057 b=5.057 c=5.495 alpha=90.00 beta=90.00 gamma=90.00
Positions (direct):
Zr 0.000 0.000 0.000
Ta 0.000 0.500 0.000
Ta 0.500 0.000 0.000
Be 0.500 0.500 0.500
I 0.000 0.000 0.500

Which of them is the least stable? Correct choice: run x.